## K3UTi2Te6 (PBE)

Data for a relaxed structure of K3UTi2Te6.

Cell lengths 7.381, 7.381, 8.628 Å; angles 98.22, 98.22, 120.23 degrees
Fractional coordinates of all 12 atoms:
1 K 0.000 0.000 0.000
2 K 0.341 0.659 0.000
3 K 0.659 0.341 0.000
4 U 0.500 0.500 0.500
5 Ti 0.172 0.828 0.500
6 Ti 0.828 0.172 0.500
7 Te 0.080 0.432 0.299
8 Te 0.210 0.210 0.693
9 Te 0.432 0.080 0.299
10 Te 0.568 0.920 0.701
11 Te 0.790 0.790 0.307
12 Te 0.920 0.568 0.701

**Formation energy from raw total energies**: -0.844 eV per atom
**Theoretical density**: 5193 kg/m³